Record 1
First-principles (PBE-GGA) data for a geometry-optimized PuGa3Ge structure, as listed in Alexandria via LeMat-Bulk.

Cell lengths 9.5411, 9.5411, 9.5411 Å; angles 146.17, 146.17, 48.59 degrees
Fractional coordinates of all 10 atoms:
Pu 0.2172 0.2172 0.0000
Pu 0.7828 0.7828 0.0000
Ga 0.3614 0.6187 0.7427
Ga 0.3813 0.1239 0.7427
Ga 0.3813 0.6386 0.2573
Ga 0.6615 0.1615 0.5000
Ga 0.8385 0.3385 0.5000
Ga 0.8761 0.6187 0.2573
Ge 0.2500 0.7500 0.5000
Ge 0.5000 0.5000 0.0000

Computed properties:
The calculation puts the distance to the lowest polymorph of the same formula at 0.0000 eV per atom. The calculation puts the size of the total moment at 12.02 μB/cell. For the density, the calculation gives 6.5 g/cm³. Its uncorrected energy is -54.55 eV/cell. For the calculated formation energy, the calculation gives 14.5 kJ/mol of atoms. Its density of states at the Fermi level is 21.24 states/eV per cell.

=====

Record 2
First-principles (PBE-GGA) data for a geometry-optimized Pu2Ga2Ge structure, as listed in Alexandria via LeMat-Bulk.

Cell lengths 5.6558, 5.6558, 9.3120 Å; angles 108.04, 108.04, 49.09 degrees
Fractional coordinates of all 10 atoms:
Pu 0.0742 0.0742 0.3632
Pu 0.1740 0.1740 0.0557
Pu 0.8260 0.8260 0.9443
Pu 0.9258 0.9258 0.6368
Ga 0.3804 0.3804 0.3909
Ga 0.4945 0.4945 0.1403
Ga 0.5055 0.5055 0.8597
Ga 0.6196 0.6196 0.6091
Ge 0.2435 0.2435 0.7129
Ge 0.7565 0.7565 0.2871

Computed properties:
The calculation puts the distance to the lowest polymorph of the same formula at 0.0000 eV per atom. The calculation puts the size of the total moment at 22.42 μB/cell. For the density, the calculation gives 11.0 g/cm³. Its uncorrected energy is -82.00 eV/cell. For the calculated formation energy, the calculation gives -32.1 kJ/mol of atoms. Its density of states at the Fermi level is 28.69 states/eV per cell.

=====

Record 3
First-principles (PBE-GGA) data for a geometry-optimized PuGaGe2 structure, as listed in Alexandria via LeMat-Bulk.

Cell lengths 4.8799, 4.8799, 4.8799 Å; angles 60.00, 60.00, 60.00 degrees
Fractional coordinates of all 4 atoms:
Pu 0.0000 0.0000 0.0000
Ga 0.5000 0.5000 0.5000
Ge 0.2500 0.2500 0.2500
Ge 0.7500 0.7500 0.7500

Computed properties:
The calculation puts the distance to the lowest polymorph of the same formula at 0.3142 eV per atom. The calculation puts the size of the total moment at 5.64 μB/cell. For the density, the calculation gives 9.3 g/cm³. Its uncorrected energy is -26.94 eV/cell. For the calculated formation energy, the calculation gives -8.2 kJ/mol of atoms. Its density of states at the Fermi level is 9.72 states/eV per cell.

=====

Record 4
First-principles (PBE-GGA) data for a geometry-optimized Pu5GaGe3 structure, as listed in Alexandria via LeMat-Bulk.

Cell lengths 7.7262, 7.7262, 8.5932 Å; angles 99.63, 99.63, 65.15 degrees
Fractional coordinates of all 18 atoms:
Pu 0.0106 0.0106 0.6621
Pu 0.1618 0.8382 0.0000
Pu 0.1881 0.5641 0.2541
Pu 0.2410 0.2410 0.9179
Pu 0.4359 0.8119 0.7459
Pu 0.5641 0.1881 0.2541
Pu 0.7590 0.7590 0.0821
Pu 0.8119 0.4359 0.7459
Pu 0.8382 0.1618 0.0000
Pu 0.9894 0.9894 0.3379
Ga 0.3916 0.3916 0.7023
Ga 0.6084 0.6084 0.2977
Ge 0.1841 0.1841 0.2303
Ge 0.2019 0.2019 0.5499
Ge 0.5000 0.5000 0.0000
Ge 0.5000 0.5000 0.5000
Ge 0.7981 0.7981 0.4501
Ge 0.8159 0.8159 0.7697

Computed properties:
The calculation puts the distance to the lowest polymorph of the same formula at 0.5413 eV per atom. The calculation puts the size of the total moment at 10.57 μB/cell. For the density, the calculation gives 11.0 g/cm³. Its uncorrected energy is -174.66 eV/cell. For the calculated formation energy, the calculation gives 13.0 kJ/mol of atoms. Its density of states at the Fermi level is 75.64 states/eV per cell.

=====

Record 5
First-principles (PBE-GGA) data for a geometry-optimized Pu2Ga2Ge structure, as listed in Alexandria via LeMat-Bulk.

Cell lengths 8.8811, 8.8811, 8.8811 Å; angles 156.12, 156.12, 34.03 degrees
Fractional coordinates of all 5 atoms:
Pu 0.0933 0.0933 0.0000
Pu 0.9067 0.9067 0.0000
Ga 0.2500 0.7500 0.5000
Ga 0.7500 0.2500 0.5000
Ge 0.5000 0.5000 0.0000

Computed properties:
The calculation puts the distance to the lowest polymorph of the same formula at 0.1513 eV per atom. The calculation puts the size of the total moment at 11.08 μB/cell. For the density, the calculation gives 10.1 g/cm³. Its uncorrected energy is -40.24 eV/cell. For the calculated formation energy, the calculation gives -17.5 kJ/mol of atoms. Its density of states at the Fermi level is 13.90 states/eV per cell.

=====

Record 6
First-principles (PBE-GGA) data for a geometry-optimized PuGa3Ge structure, as listed in Alexandria via LeMat-Bulk.

Cell lengths 5.5784, 5.5837, 6.0518 Å; angles 117.31, 90.24, 119.77 degrees
Fractional coordinates of all 5 atoms:
Pu 0.0000 0.0000 0.0000
Ga 0.0000 0.0000 0.5000
Ga 0.0000 0.5000 0.5000
Ga 0.5000 0.5000 0.5000
Ge 0.5000 0.0000 0.5000

Computed properties:
The calculation puts the distance to the lowest polymorph of the same formula at 0.1696 eV per atom. The calculation puts the size of the total moment at 6.52 μB/cell. For the density, the calculation gives 6.3 g/cm³. Its uncorrected energy is -26.43 eV/cell. For the calculated formation energy, the calculation gives 30.9 kJ/mol of atoms. Its density of states at the Fermi level is 13.58 states/eV per cell.

=====

Record 7
First-principles (PBE-GGA) data for a geometry-optimized PuGa2Ge2 structure, as listed in Alexandria via LeMat-Bulk.

Cell lengths 11.3557, 11.3557, 4.1081 Å; angles 90.00, 90.00, 158.64 degrees
Fractional coordinates of all 10 atoms:
Pu 0.1465 0.8535 0.7500
Pu 0.8535 0.1465 0.2500
Ga 0.0432 0.9568 0.2500
Ga 0.4540 0.5460 0.2500
Ga 0.5460 0.4540 0.7500
Ga 0.9568 0.0432 0.7500
Ge 0.2507 0.7493 0.2500
Ge 0.3564 0.6436 0.7500
Ge 0.6436 0.3564 0.2500
Ge 0.7493 0.2507 0.7500

Computed properties:
The calculation puts the size of the total moment at 10.85 μB/cell. For the density, the calculation gives 9.1 g/cm³. Its uncorrected energy is -61.49 eV/cell. For the calculated formation energy, the calculation gives -21.7 kJ/mol of atoms. Its density of states at the Fermi level is 19.35 states/eV per cell.

=====

Record 8
First-principles (PBE-GGA) data for a geometry-optimized PuGaGe2 structure, as listed in Alexandria via LeMat-Bulk.

Cell lengths 4.3050, 4.3050, 4.1732 Å; angles 90.00, 90.00, 90.00 degrees
Fractional coordinates of all 4 atoms:
Pu 0.0000 0.0000 0.0000
Ga 0.5000 0.5000 0.0000
Ge 0.0000 0.5000 0.5000
Ge 0.5000 0.0000 0.5000

Computed properties:
The calculation puts the distance to the lowest polymorph of the same formula at 0.0000 eV per atom. The calculation puts the size of the total moment at 5.03 μB/cell. For the density, the calculation gives 9.9 g/cm³. Its uncorrected energy is -28.19 eV/cell. For the calculated formation energy, the calculation gives -38.6 kJ/mol of atoms. Its density of states at the Fermi level is 8.01 states/eV per cell.